No. 1
Entry from the Alexandria database: a geometry-optimized PmMgScPt structure (PBE).

a b c (Å): 5.015 5.015 5.015
angles (deg): 60.00 60.00 60.00
Fractional positions:
Sc 0.500 0.500 0.500
Mg 0.250 0.250 0.250
Pt 0.750 0.750 0.750
Pm 0.000 0.000 0.000

Values from the calculation:
Calculated formation energy ... -2.15 eV/f.u.


No. 2
Entry from the Alexandria database: a geometry-optimized Ca3LaP structure (PBE).

a b c (Å): 5.641 5.641 5.641
angles (deg): 90.00 90.00 90.00
Fractional positions:
P 0.000 0.000 0.000
Ca 0.000 0.500 0.000
Ca 0.000 0.000 0.500
Ca 0.500 0.000 0.000
La 0.500 0.500 0.500

Values from the calculation:
Calculated formation energy ... -1.48 eV/f.u.


No. 3
Entry from the Alexandria database: a geometry-optimized Nb2Pd7Rh structure (PBE).

a b c (Å): 2.749 8.793 8.793
angles (deg): 122.87 90.00 90.00
Fractional positions:
Nb 0.500 0.671 0.329
Nb 0.500 0.329 0.671
Pd 0.000 0.816 0.184
Pd 0.000 0.184 0.816
Pd 0.500 0.137 0.328
Pd 0.500 0.863 0.672
Pd 0.500 0.328 0.137
Pd 0.500 0.672 0.863
Pd 0.500 0.500 0.500
Rh 0.000 0.000 0.000

Values from the calculation:
Calculated formation energy ... 1.90 eV/f.u.


No. 4
Entry from the Alexandria database: a geometry-optimized SrCa2Zn6 structure (PBE).

a b c (Å): 3.857 7.893 7.892
angles (deg): 120.00 89.99 90.00
Fractional positions:
Sr 0.000 0.000 0.000
Ca 0.000 0.333 0.666
Ca 0.000 0.667 0.334
Zn 0.500 0.338 0.337
Zn 0.500 0.662 0.663
Zn 0.500 0.000 0.663
Zn 0.500 0.662 0.000
Zn 0.500 0.338 0.000
Zn 0.500 0.000 0.337

Values from the calculation:
Calculated formation energy ... -2.30 eV/f.u.


No. 5
Entry from the Alexandria database: a geometry-optimized CaMnIr2 structure (PBE).

a b c (Å): 5.452 5.452 5.452
angles (deg): 148.63 127.58 62.38
Last column: magnetic moment on the atom in μB.
Fractional positions:
Ca 0.250 0.750 0.500  -0.02
Ir 0.975 0.975 0.000  0.16
Ir 0.525 0.525 0.000  0.16
Mn 0.750 0.250 0.500  3.21

Values from the calculation:
Calculated formation energy ... 0.48 eV/f.u.


No. 6
Entry from the Alexandria database: a geometry-optimized Fe3SbN structure (PBE).

a b c (Å): 4.924 4.924 4.924
angles (deg): 90.00 90.00 90.00
Last column: magnetic moment on the atom in μB.
Fractional positions:
Sb 0.000 0.000 0.000  0.02
Fe 0.000 0.500 0.000  3.17
Fe 0.000 0.000 0.500  3.25
Fe 0.500 0.000 0.000  3.09
N 0.500 0.500 0.500  1.51

Values from the calculation:
E_form (uncorrected) ... 2247 meV per atom